Computed, not measured: a relaxed CrTeAs2 crystal at the PBE level of DFT.

Lattice parameters (Å, degrees): 3.052 3.052 8.911 90.00 90.00 90.00
Space group P4/mmm (No. 123)
Unique sites:
Cr 0.000 0.000 0.000 (multiplicity 1)
Te 0.000 0.000 0.500 (multiplicity 1)
As 0.500 0.500 0.158 (multiplicity 2)

Properties
Density, g/cm³: 6.6
Formation energy from raw total energies, eV per atom: 0.087

=====

Computed, not measured: a relaxed Cr2TeAs crystal at the PBE level of DFT.

Lattice parameters (Å, degrees): 3.148 3.148 6.407 90.00 90.00 90.00
Space group P4/mmm (No. 123)
Unique sites:
Cr 0.000 0.000 0.218 (multiplicity 2)
Te 0.500 0.500 0.500 (multiplicity 1)
As 0.500 0.500 0.000 (multiplicity 1)

Properties
Density, g/cm³: 8.0
Formation energy from raw total energies, eV per atom: 0.307

=====

> Which value of density does entry 1 give?

6.6 g/cm³

=====

> What is the formula in the first record?

CrTeAs2

=====

> Which value of density does entry 2 give?

8.0 g/cm³

=====

> Number 1 is which compound?

CrTeAs2